Rb2MnOF6 (GGA+U, relaxed); crystal system = tetragonal; electronic total energy = -4.531 eV/atom; magnetization = 3.000 μB/f.u.
1.0
-3.3003 3.3003 3.9268
3.3003 -3.3003 3.9268
3.3003 3.3003 -3.9268
Rb Mn O F
2 1 1 6
Direct
0.2500 0.7500 0.5000
0.7500 0.2500 0.5000
0.0000 0.0000 0.0000
0.5000 0.5000 0.0000
0.2002 0.2002 0.4004
0.2002 0.7998 0.0000
0.2813 0.2813 0.0000
0.7187 0.7187 0.0000
0.7998 0.2002 0.0000
0.7998 0.7998 0.5996

RbMnO2F (GGA+U, relaxed); crystal system = tetragonal; electronic total energy = -3.497 eV/atom; magnetization = 6.356 μB/f.u.
1.0
4.2580 0.0000 0.0000
0.0000 4.2580 0.0000
0.0000 0.0000 7.2993
Rb Mn O F
1 1 2 1
Direct
0.0000 0.0000 0.0000
0.0000 0.0000 0.5000
0.0000 0.5000 0.0000
0.5000 0.0000 0.0000
0.5000 0.5000 0.5000

RbMnO2F (GGA+U, relaxed); crystal system = tetragonal; electronic total energy = -3.970 eV/atom; magnetization = 4.990 μB/f.u.
1.0
4.3517 0.0000 0.0000
0.0000 4.3517 0.0000
0.0000 0.0000 4.7646
Rb Mn O F
1 1 2 1
Direct
0.0000 0.0000 0.0000
0.5000 0.5000 0.5000
0.0000 0.5000 0.0000
0.5000 0.0000 0.0000
0.0000 0.0000 0.5000

Rb2MnSO4F3 (GGA+U, relaxed); crystal system = monoclinic; electronic total energy = -5.689 eV/atom; magnetization = 3.999 μB/f.u.
1.0
7.4740 0.0000 0.0000
0.0000 11.3788 0.0000
-0.4185 0.0000 8.9274
Rb Mn S O F
8 4 4 16 12
Direct
0.1929 0.1913 0.3318
0.1929 0.3087 0.8318
0.3017 0.6911 0.8288
0.3017 0.8089 0.3288
0.6983 0.1911 0.6712
0.6983 0.3089 0.1712
0.8071 0.6913 0.1682
0.8071 0.8087 0.6682
0.0000 0.0000 0.0000
0.0000 0.5000 0.5000
0.5000 0.0000 0.0000
0.5000 0.5000 0.5000
0.2519 0.0010 0.6969
0.2519 0.4990 0.1969
0.7481 0.5010 0.8031
0.7481 0.9990 0.3031
0.1105 0.0555 0.7884
0.1105 0.4445 0.2884
0.1782 0.5971 0.1064
0.1782 0.9029 0.6064
0.3354 0.0926 0.6077
0.3354 0.4074 0.1077
0.3952 0.5548 0.3048
0.3952 0.9452 0.8048
0.6048 0.0548 0.1952
0.6048 0.4452 0.6952
0.6646 0.5926 0.8923
0.6646 0.9074 0.3923
0.8218 0.0971 0.3936
0.8218 0.4029 0.8936
0.8895 0.5555 0.7116
0.8895 0.9445 0.2116
0.0230 0.6591 0.4537
0.0230 0.8409 0.9537
0.2370 0.0012 0.1014
0.2370 0.4988 0.6014
0.4796 0.1586 0.9446
0.4796 0.3414 0.4446
0.5204 0.6586 0.5554
0.5204 0.8414 0.0554
0.7630 0.5012 0.3986
0.7630 0.9988 0.8986
0.9770 0.1591 0.0463
0.9770 0.3409 0.5463

MnRe2OF (GGA+U, relaxed); crystal system = tetragonal; electronic total energy = -7.754 eV/atom; magnetization = 4.043 μB/f.u.
1.0
3.8692 0.0000 0.0000
0.0000 3.8692 0.0000
0.0000 0.0000 5.1030
Mn Re O F
1 2 1 1
Direct
0.0000 0.0000 0.0000
0.0000 0.5000 0.5000
0.5000 0.0000 0.5000
0.5000 0.5000 0.5000
0.5000 0.5000 0.0000

Mn2ReOF (GGA+U, relaxed); crystal system = tetragonal; electronic total energy = -6.129 eV/atom; magnetization = 7.983 μB/f.u.
1.0
4.9868 0.0000 0.0000
0.0000 4.9868 0.0000
0.0000 0.0000 3.9415
Mn Re O F
2 1 1 1
Direct
0.0000 0.5000 0.0000
0.5000 0.0000 0.0000
0.0000 0.0000 0.0000
0.5000 0.5000 0.5000
0.0000 0.0000 0.5000